{
  "formula": "SrCaGe",
  "functional": "GGA-PBE",
  "state": "optimized geometry",
  "lattice_angstrom": [[-4.284, -1.384, 2.091], [3.752, -6.331, 3.499], [1.909, 5.193, 7.350]],
  "species": ["Sr", "Sr", "Sr", "Sr", "Ca", "Ca", "Ca", "Ca", "Ge", "Ge", "Ge", "Ge"],
  "fractional_positions": [[0.250, 0.522, 0.178], [0.250, 0.022, 0.322], [0.750, 0.978, 0.678], [0.750, 0.478, 0.822], [0.750, 0.852, 0.073], [0.250, 0.148, 0.927], [0.750, 0.352, 0.427], [0.250, 0.648, 0.573], [0.750, 0.233, 0.106], [0.250, 0.267, 0.606], [0.250, 0.767, 0.894], [0.750, 0.733, 0.394]]
}



{
  "formula": "Sr2CaGe6",
  "functional": "GGA-PBE",
  "state": "optimized geometry",
  "lattice_angstrom": [[0.115, 2.885, 2.649], [-7.113, -1.016, 4.313], [0.999, -4.051, 7.268]],
  "species": ["Sr", "Sr", "Ca", "Ge", "Ge", "Ge", "Ge", "Ge", "Ge"],
  "fractional_positions": [[0.372, 0.128, 0.128], [0.628, 0.872, 0.872], [0.500, 0.500, 0.500], [0.192, 0.522, 0.093], [0.808, 0.478, 0.907], [0.808, 0.907, 0.478], [0.000, 0.231, 0.769], [0.000, 0.769, 0.231], [0.192, 0.093, 0.522]]
}



{
  "formula": "Sr2Ca3Ge4",
  "functional": "GGA-PBE",
  "state": "optimized geometry",
  "lattice_angstrom": [[-4.109, -3.404, -5.740], [-2.626, -3.490, 7.016], [-5.733, 5.732, 0.705]],
  "species": ["Sr", "Sr", "Sr", "Sr", "Ca", "Ca", "Ca", "Ca", "Ca", "Ca", "Ge", "Ge", "Ge", "Ge", "Ge", "Ge", "Ge", "Ge"],
  "fractional_positions": [[0.583, 0.198, 0.325], [0.917, 0.802, 0.825], [0.417, 0.802, 0.675], [0.083, 0.198, 0.175], [0.000, 0.500, 0.500], [0.500, 0.500, 0.000], [0.750, 0.245, 0.820], [0.750, 0.755, 0.320], [0.250, 0.755, 0.180], [0.250, 0.245, 0.680], [0.880, 0.075, 0.528], [0.620, 0.925, 0.028], [0.120, 0.925, 0.472], [0.380, 0.075, 0.972], [0.887, 0.502, 0.113], [0.613, 0.498, 0.613], [0.113, 0.498, 0.887], [0.387, 0.502, 0.387]]
}



{
  "formula": "SrCaGe2",
  "functional": "GGA-PBE",
  "state": "optimized geometry",
  "lattice_angstrom": [[-7.586, -1.518, -3.006], [0.452, -7.800, 2.798], [-4.907, -3.697, 2.794]],
  "species": ["Sr", "Sr", "Ge", "Ge", "Ge", "Ge", "Ca", "Ca"],
  "fractional_positions": [[0.000, 0.000, 0.000], [0.750, 0.250, 0.500], [0.612, 0.125, 0.250], [0.138, 0.625, 0.250], [0.375, 0.388, 0.750], [0.875, 0.862, 0.750], [0.500, 0.500, 0.000], [0.250, 0.750, 0.500]]
}



{
  "formula": "Sr3CaGe2",
  "functional": "GGA-PBE",
  "state": "optimized geometry",
  "lattice_angstrom": [[6.858, 0.000, -2.847], [-1.152, 6.490, -2.774], [-0.137, 0.034, 9.353]],
  "species": ["Sr", "Sr", "Sr", "Sr", "Sr", "Sr", "Ca", "Ca", "Ge", "Ge", "Ge", "Ge"],
  "fractional_positions": [[0.386, 0.689, 0.377], [0.614, 0.311, 0.623], [0.009, 0.811, 0.623], [0.991, 0.189, 0.377], [0.500, 0.750, 0.000], [0.500, 0.250, 0.000], [0.000, 0.250, 0.000], [0.000, 0.750, 0.000], [0.347, 0.115, 0.229], [0.653, 0.885, 0.771], [0.118, 0.385, 0.771], [0.882, 0.615, 0.229]]
}



{
  "formula": "Sr3CaGe",
  "functional": "GGA-PBE",
  "state": "optimized geometry",
  "lattice_angstrom": [[-5.591, -2.655, -0.338], [1.859, -4.416, 3.932], [-1.925, 3.445, 4.779]],
  "species": ["Sr", "Sr", "Sr", "Ge", "Ca"],
  "fractional_positions": [[0.000, 0.500, 0.000], [0.000, 0.000, 0.500], [0.500, 0.000, 0.000], [0.000, 0.000, 0.000], [0.500, 0.500, 0.500]]
}



{
  "formula": "SrCa2Ge",
  "functional": "GGA-PBE",
  "state": "optimized geometry",
  "lattice_angstrom": [[4.731, 0.000, 0.000], [2.365, 4.097, 0.000], [2.365, 1.366, 8.438]],
  "species": ["Sr", "Ge", "Ca", "Ca"],
  "fractional_positions": [[0.500, 0.500, 0.500], [0.000, 0.000, 0.000], [0.287, 0.287, 0.140], [0.713, 0.713, 0.860]]
}



{
  "formula": "SrCa2Ge",
  "functional": "GGA-PBE",
  "state": "optimized geometry",
  "lattice_angstrom": [[-3.977, -2.165, 1.027], [3.470, 1.370, 5.828], [-4.285, 8.170, 0.630]],
  "species": ["Sr", "Sr", "Ca", "Ca", "Ca", "Ca", "Ge", "Ge"],
  "fractional_positions": [[0.063, 0.127, 0.750], [0.937, 0.873, 0.250], [0.346, 0.691, 0.938], [0.654, 0.309, 0.062], [0.654, 0.309, 0.438], [0.346, 0.691, 0.562], [0.758, 0.517, 0.750], [0.242, 0.483, 0.250]]
}



{
  "formula": "SrCa3Ge2",
  "functional": "GGA-PBE",
  "state": "optimized geometry",
  "lattice_angstrom": [[-0.872, -3.162, -3.662], [-0.698, -5.887, 5.249], [-8.950, 1.673, 0.687]],
  "species": ["Sr", "Sr", "Ca", "Ca", "Ca", "Ca", "Ca", "Ca", "Ge", "Ge", "Ge", "Ge"],
  "fractional_positions": [[0.500, 0.520, 0.570], [0.500, 0.020, 0.430], [0.000, 0.477, 0.926], [0.000, 0.977, 0.074], [0.500, 0.651, 0.171], [0.500, 0.151, 0.829], [0.000, 0.350, 0.319], [0.000, 0.850, 0.681], [0.500, 0.762, 0.858], [0.500, 0.262, 0.142], [0.000, 0.241, 0.647], [0.000, 0.741, 0.353]]
}



{
  "formula": "SrCa2Ge6",
  "functional": "GGA-PBE",
  "state": "optimized geometry",
  "lattice_angstrom": [[-0.148, 4.223, 0.924], [-7.537, 0.077, -1.560], [2.435, -1.478, 7.150]],
  "species": ["Sr", "Ca", "Ca", "Ge", "Ge", "Ge", "Ge", "Ge", "Ge"],
  "fractional_positions": [[0.000, 0.000, 0.000], [0.000, 0.333, 0.667], [0.000, 0.667, 0.333], [0.500, 0.336, 0.336], [0.500, 0.664, 0.664], [0.500, 0.000, 0.664], [0.500, 0.664, 0.000], [0.500, 0.336, 0.000], [0.500, 0.000, 0.336]]
}



{
  "formula": "SrCaGe2",
  "functional": "GGA-PBE",
  "state": "optimized geometry",
  "lattice_angstrom": [[-2.406, -3.145, 1.116], [4.884, -3.126, 1.721], [-0.675, 3.364, 8.026]],
  "species": ["Sr", "Sr", "Ca", "Ca", "Ge", "Ge", "Ge", "Ge"],
  "fractional_positions": [[0.500, 0.367, 0.320], [0.500, 0.633, 0.820], [0.000, 0.134, 0.682], [0.000, 0.866, 0.182], [0.000, 0.639, 0.539], [0.000, 0.361, 0.039], [0.500, 0.880, 0.459], [0.500, 0.120, 0.959]]
}



{
  "formula": "SrCa2Ge2",
  "functional": "GGA-PBE",
  "state": "optimized geometry",
  "lattice_angstrom": [[-3.883, -3.392, -1.886], [3.422, -1.734, -3.928], [1.579, -6.471, 0.395]],
  "species": ["Sr", "Ge", "Ge", "Ca", "Ca"],
  "fractional_positions": [[0.000, 0.000, 0.000], [0.750, 0.250, 0.500], [0.250, 0.750, 0.500], [0.336, 0.336, 0.329], [0.664, 0.664, 0.671]]
}



{
  "formula": "SrCaGe2",
  "functional": "GGA-PBE",
  "state": "optimized geometry",
  "lattice_angstrom": [[3.938, 0.000, 0.000], [0.000, 3.938, 0.000], [0.000, 0.000, 6.875]],
  "species": ["Sr", "Ge", "Ge", "Ca"],
  "fractional_positions": [[0.500, 0.500, 0.500], [0.000, 0.000, 0.804], [0.000, 0.000, 0.196], [0.500, 0.500, 0.000]]
}



{
  "formula": "SrCaGe",
  "functional": "GGA-PBE",
  "state": "optimized geometry",
  "lattice_angstrom": [[5.209, 0.000, 0.000], [-2.604, 4.513, 0.000], [0.000, 0.000, 7.685]],
  "species": ["Sr", "Sr", "Ca", "Ca", "Ge", "Ge"],
  "fractional_positions": [[0.000, 0.000, 0.000], [0.000, 0.000, 0.500], [0.667, 0.334, 0.250], [0.333, 0.666, 0.750], [0.333, 0.667, 0.250], [0.667, 0.333, 0.750]]
}



{
  "formula": "SrCa4Ge4",
  "functional": "GGA-PBE",
  "state": "optimized geometry",
  "lattice_angstrom": [[-0.285, -5.489, 2.349], [5.824, 2.791, 7.226], [-7.733, 2.633, 5.215]],
  "species": ["Sr", "Sr", "Ca", "Ca", "Ca", "Ca", "Ca", "Ca", "Ca", "Ca", "Ge", "Ge", "Ge", "Ge", "Ge", "Ge", "Ge", "Ge"],
  "fractional_positions": [[0.000, 0.000, 0.000], [0.500, 0.500, 0.500], [0.376, 0.345, 0.891], [0.876, 0.609, 0.845], [0.376, 0.655, 0.109], [0.124, 0.155, 0.609], [0.624, 0.891, 0.655], [0.124, 0.845, 0.391], [0.876, 0.391, 0.155], [0.624, 0.109, 0.345], [0.625, 0.790, 0.348], [0.625, 0.210, 0.652], [0.125, 0.848, 0.710], [0.875, 0.290, 0.848], [0.875, 0.710, 0.152], [0.375, 0.348, 0.210], [0.375, 0.652, 0.790], [0.125, 0.152, 0.290]]
}



{
  "formula": "SrCaGe3",
  "functional": "GGA-PBE",
  "state": "optimized geometry",
  "lattice_angstrom": [[-0.146, 2.308, -4.843], [-1.970, -4.529, -2.100], [-4.990, 1.721, 0.970]],
  "species": ["Sr", "Ge", "Ge", "Ge", "Ca"],
  "fractional_positions": [[0.500, 0.500, 0.500], [0.000, 0.500, 0.000], [0.000, 0.000, 0.500], [0.500, 0.000, 0.000], [0.000, 0.000, 0.000]]
}



{
  "formula": "SrCa2Ge",
  "functional": "GGA-PBE",
  "state": "optimized geometry",
  "lattice_angstrom": [[9.667, 0.000, 0.000], [0.000, 9.667, 0.000], [4.833, 4.833, 3.315]],
  "species": ["Sr", "Sr", "Ge", "Ge", "Ca", "Ca", "Ca", "Ca"],
  "fractional_positions": [[0.000, 0.000, 0.000], [0.750, 0.250, 0.500], [0.500, 0.500, 0.000], [0.250, 0.750, 0.500], [0.530, 0.125, 0.250], [0.220, 0.625, 0.250], [0.375, 0.470, 0.750], [0.875, 0.780, 0.750]]
}



{
  "formula": "SrCaGe",
  "functional": "GGA-PBE",
  "state": "optimized geometry",
  "lattice_angstrom": [[-2.595, -3.394, 2.534], [3.914, -3.057, -0.088], [2.543, 3.052, 6.701]],
  "species": ["Sr", "Sr", "Ca", "Ca", "Ge", "Ge"],
  "fractional_positions": [[0.250, 0.250, 0.366], [0.750, 0.750, 0.634], [0.750, 0.250, 0.000], [0.250, 0.750, 0.000], [0.750, 0.750, 0.229], [0.250, 0.250, 0.771]]
}



{
  "formula": "Sr2Ca2Ge3",
  "functional": "GGA-PBE",
  "state": "optimized geometry",
  "lattice_angstrom": [[4.333, 0.000, 0.000], [-2.166, 6.958, 0.701], [0.000, -3.021, 6.776]],
  "species": ["Sr", "Sr", "Ca", "Ca", "Ge", "Ge", "Ge"],
  "fractional_positions": [[0.819, 0.637, 0.746], [0.181, 0.363, 0.254], [0.928, 0.856, 0.250], [0.072, 0.144, 0.750], [0.500, 0.000, 0.000], [0.582, 0.164, 0.456], [0.418, 0.836, 0.544]]
}



{
  "formula": "Sr3CaGe",
  "functional": "GGA-PBE",
  "state": "optimized geometry",
  "lattice_angstrom": [[6.380, 0.000, 0.000], [0.000, 6.380, 0.000], [0.000, 0.000, 6.380]],
  "species": ["Sr", "Sr", "Sr", "Ge", "Ca"],
  "fractional_positions": [[0.000, 0.500, 0.000], [0.000, 0.000, 0.500], [0.500, 0.000, 0.000], [0.500, 0.500, 0.500], [0.000, 0.000, 0.000]]
}



no.,calculated total energy (eV/atom)
1,-3.383
2,-3.916
3,-3.716
4,-3.337
5,-3.228
6,-2.498
7,-2.793
8,-2.971
9,-3.432
10,-4.108
11,-3.851
12,-3.232
13,-3.714
14,-3.293
15,-3.606
16,-3.221
17,-2.740
18,-3.336
19,-3.497
20,-1.437